Here is a geometry-optimized TbPaFe2O6 structure from the Alexandria database. Energies are from PBE with a Hubbard U.

E: -81.2 eV per cell
Calculated volume: 139 Å³/cell
Magnetic moment: 7.97 μB per formula unit

```
10
Lattice="5.002 -3.025 0.000 5.002 3.025 0.000 -2.985 0.000 4.608" Properties=species:S:1:pos:R:3 pbc="T T T"
Tb 0.000 0.000 0.000
Pa 3.509 0.000 2.304
Fe 0.109 0.000 3.699
Fe 6.909 0.000 0.908
O 3.548 1.491 0.746
O 1.244 0.000 2.087
O 3.470 1.491 3.862
O 3.548 -1.491 0.746
O 5.774 0.000 2.521
O 3.470 -1.491 3.862
```